Record 1
Entry from Alexandria via LeMat-Bulk: an optimized crystal structure of SrLi2Hg (PBE).

The size of the total moment comes out at 0.00 μB per cell. The value obtained for the total energy is -13.72 eV/cell. As for the formation energy: -25.3 kJ/mol of atoms.

The structure belongs to space group Cm (No. 8); the cell edges are 8.308, 4.789 and 6.197 Å and the angles 90.00°, 116.44° and 90.00°. The distinct sites, in fractional coordinates, are Sr at (0.000, 0.000, 0.000), Li at (0.195, 0.000, 0.588), Li at (0.489, 0.000, 0.466) and Hg at (0.299, 0.500, 0.396).

Record 2
Entry from Alexandria via LeMat-Bulk: an optimized crystal structure of BaCaAg2P2 (PBE).

The size of the total moment comes out at 0.00 μB per cell. The value obtained for the total energy is -24.79 eV/cell. As for the formation energy: -69.8 kJ/mol of atoms.

The structure belongs to space group P-3m1 (No. 164); the cell edges are 4.4410, 4.4410 and 8.3353 Å and the angles 90.00°, 90.00° and 120.00°. The distinct sites, in fractional coordinates, are Ba at (0.0000, 0.0000, 0.0000), Ca at (0.0000, 0.0000, 0.5000), Ag at (0.3333, 0.6667, 0.7154) and P at (0.3333, 0.6667, 0.2709).

Record 3
Entry from Alexandria via LeMat-Bulk: an optimized crystal structure of BeCdPt2 (PBE).

The size of the total moment comes out at 0.00 μB per cell. The value obtained for the total energy is -17.80 eV/cell. As for the formation energy: -25.9 kJ/mol of atoms.

The structure belongs to space group P4/mmm (No. 123); the cell edges are 4.067, 4.067 and 3.650 Å and the angles 90.00°, 90.00° and 90.00°. The distinct sites, in fractional coordinates, are Be at (0.000, 0.000, 0.000), Cd at (0.500, 0.500, 0.000) and Pt at (0.000, 0.500, 0.500).

Record 4
Entry from Alexandria via LeMat-Bulk: an optimized crystal structure of K2BaTcO6 (PBE).

The size of the total moment comes out at 6.37 μB per cell. Its formation energy from raw total energies is -36.015 kcal/mol of atoms. The value obtained for the total energy is -359.10 eV/cell.

The structure belongs to space group R-3m (No. 166, hexagonal axes); the cell edges are 6.1356, 6.1356 and 37.2237 Å and the angles 90.00°, 90.00° and 120.00°. The distinct sites, in fractional coordinates, are K at (0.0000, 0.0000, 0.1494), K at (0.0000, 0.0000, 0.3099), Ba at (0.0000, 0.0000, 0.4102), Tc at (0.0000, 0.0000, 0.0000), Tc at (0.0000, 0.0000, 0.5000), O at (0.0408, 0.5204, 0.6961) and O at (0.0460, 0.5230, 0.1364).

Record 5
Entry from Alexandria via LeMat-Bulk: an optimized crystal structure of TlSiAu (PBE).

The size of the total moment comes out at 0.00 μB per cell. Its formation energy from raw total energies is 3.448 kcal/mol of atoms. The value obtained for the total energy is -42.47 eV/cell.

The structure belongs to space group Cmcm (No. 63); the cell edges are 3.508, 8.291 and 10.104 Å and the angles 90.00°, 90.00° and 90.00°. The distinct sites, in fractional coordinates, are Tl at (0.000, 0.000, 0.000), Si at (0.000, 0.395, 0.250) and Au at (0.000, 0.308, 0.750).

Record 6
Entry from Alexandria via LeMat-Bulk: an optimized crystal structure of Al2ZnIn (PBE).

The size of the total moment comes out at 0.00 μB per cell. The value obtained for the total energy is -10.85 eV/cell. As for the formation energy: 15.7 kJ/mol of atoms.

The structure belongs to space group P4/mmm (No. 123); the cell edges are 4.189, 4.189 and 4.335 Å and the angles 90.00°, 90.00° and 90.00°. The distinct sites, in fractional coordinates, are Al at (0.000, 0.500, 0.000), Zn at (0.000, 0.000, 0.500) and In at (0.500, 0.500, 0.500).